No. 1
VASP calculation (PBE) on K2SmMg3F12 after structural relaxation.

**DOS(E_F)**: 8.3 states/eV/f.u.
**ΔE_f (raw)**: -3.263 eV/atom
**Total energy**: -5.1603 eV per atom

Unit cell a=7.4799 b=7.4799 c=16.2298 alpha=90.00 beta=90.00 gamma=120.00
Space group R-3m (No. 166, hexagonal axes)
Asymmetric unit:
K: 0.0000 0.0000 0.1077 [6 per cell]
Sm: 0.0000 0.0000 0.5000 [3 per cell]
Mg: 0.0000 0.5000 0.0000 [9 per cell]
F: 0.0200 0.5100 0.8758 [18 per cell]
F: 0.0875 0.5437 0.3099 [18 per cell]

=====

No. 2
VASP calculation (PBE) on K2MgSnF6 after structural relaxation.

**DOS(E_F)**: 0.0 states/eV/f.u.
**ΔE_f (raw)**: -2.794 eV/atom
**Total energy**: -4.6962 eV per atom

Unit cell a=4.4711 b=4.4711 c=8.7811 alpha=90.00 beta=90.00 gamma=90.00
Space group P4/mmm (No. 123)
Asymmetric unit:
K: 0.0000 0.0000 0.2198 [2 per cell]
Mg: 0.5000 0.5000 0.0000 [1 per cell]
Sn: 0.5000 0.5000 0.5000 [1 per cell]
F: 0.0000 0.5000 0.0000 [2 per cell]
F: 0.0000 0.5000 0.5000 [2 per cell]
F: 0.5000 0.5000 0.2191 [2 per cell]